First-principles (GGA+U) data for crystalline RbV4In3O12 at its relaxed geometry, as listed in the Alexandria database.

The structure in POSCAR format:
```
RbV4In3O12
1.0
-4.4790 2.5284 -5.0906
3.3489 -5.7765 -2.7903
-4.1096 -2.3585 5.4697
V In O Rb
4 3 12 1
Cartesian
-2.4588 -4.9331 3.3968
-6.0314 0.8161 -2.2081
-2.6199 -2.8033 -1.2056
0.6307 -4.2929 -4.8055
0.1017 -4.2884 0.8059
-4.2704 -0.2309 0.8721
-1.0710 -1.0873 -4.0891
-5.6901 -1.3963 2.1946
0.5686 -5.0940 -3.2572
-5.8589 0.1575 -0.6021
-1.3008 -4.2028 -0.8180
-2.6821 -1.9798 -2.9851
-2.7719 -0.7916 -5.5527
-4.9894 0.1863 -3.4573
-1.2730 -5.3242 2.1787
-0.4644 -2.9616 -5.0723
-3.8767 -2.2274 0.1863
-3.7020 -3.7839 2.9765
0.6025 -6.2220 -0.2587
0.0000 0.0000 0.0000
```

Computed properties:
**Electronic total energy**: -6.48 eV/atom
**Crystal system**: trigonal